i) A plane-wave DFT calculation with PBE was carried out for a geometry-optimized Ca3TiN structure.

Lattice parameters (Å, degrees): 5.6289 5.6289 5.6289 90.00 90.00 90.00
With the nearest neighbours (Å) after each atom.
Sites, in units of the cell vectors:
Ca  0.0000  0.0000  0.5000  2 Ti 2.81
Ca  0.0000  0.5000  0.0000  2 Ti 2.81
Ca  0.5000  0.0000  0.0000  2 Ti 2.81
Ti  0.0000  0.0000  0.0000  6 Ca 2.81
N  0.5000  0.5000  0.5000  12 Ca 3.98

Output
**Space group**: No. 221

=====

ii) A plane-wave DFT calculation with PBE was carried out for a geometry-optimized Ca3TiN structure.

Lattice parameters (Å, degrees): 4.9948 4.9948 4.9948 90.00 90.00 90.00
With the nearest neighbours (Å) after each atom.
Sites, in units of the cell vectors:
Ca  0.0000  0.0000  0.5000  2 N 2.50
Ca  0.0000  0.5000  0.0000  2 N 2.50
Ca  0.5000  0.0000  0.0000  2 N 2.50
Ti  0.5000  0.5000  0.5000  12 Ca 3.53
N  0.0000  0.0000  0.0000  6 Ca 2.50

Output
**Space group**: No. 221

=====

ii) is preferred energetically. Next in line: 1.697 eV/atom higher.

=====

i) A plane-wave DFT calculation with PBE was carried out for a geometry-optimized Ca5Ti2N6 structure.

Lattice parameters (Å, degrees): 10.3462 11.6328 3.4196 90.00 90.00 90.00
With the nearest neighbours (Å) after each atom.
Sites, in units of the cell vectors:
Ca  0.0000  0.0000  0.0000  4 N 2.52
Ca  0.0148  0.2617  0.0000  5 N 2.38-2.62
Ca  0.1932  0.5167  0.0000  3 N 2.40-2.41
Ca  0.3068  0.0167  0.0000  3 N 2.40-2.41
Ca  0.4852  0.7617  0.0000  5 N 2.38-2.62
Ca  0.5000  0.5000  0.0000  4 N 2.52
Ca  0.5148  0.2383  0.0000  5 N 2.38-2.62
Ca  0.6932  0.9833  0.0000  3 N 2.40-2.41
Ca  0.8068  0.4833  0.0000  3 N 2.40-2.41
Ca  0.9852  0.7383  0.0000  5 N 2.38-2.62
Ti  0.2408  0.7297  0.5000  4 N 1.88-2.00
Ti  0.2592  0.2297  0.5000  4 N 1.88-2.00
Ti  0.7408  0.7703  0.5000  4 N 1.88-2.00
Ti  0.7592  0.2703  0.5000  4 N 1.88-2.00
N  0.0946  0.6340  0.5000  1 Ti 1.88
N  0.1174  0.1203  0.5000  1 Ti 1.94
N  0.2405  0.8187  0.0000  2 Ti 2.00
N  0.2595  0.3187  0.0000  2 Ti 2.00
N  0.3826  0.6203  0.5000  1 Ti 1.94
N  0.4054  0.1340  0.5000  1 Ti 1.88
N  0.5946  0.8660  0.5000  1 Ti 1.88
N  0.6174  0.3797  0.5000  1 Ti 1.94
N  0.7405  0.6813  0.0000  2 Ti 2.00
N  0.7595  0.1813  0.0000  2 Ti 2.00
N  0.8826  0.8797  0.5000  1 Ti 1.94
N  0.9054  0.3660  0.5000  1 Ti 1.88

Output
**Space group**: No. 55

=====

ii) A plane-wave DFT calculation with PBE was carried out for a geometry-optimized Ca5Ti2N6 structure.

Lattice parameters (Å, degrees): 6.1068 6.1068 12.8956 101.46 101.46 64.93
With the nearest neighbours (Å) after each atom.
Sites, in units of the cell vectors:
Ca  0.1574  0.8426  0.7500  4 N 2.47-2.66
Ca  0.1959  0.4910  0.2743  5 N 2.40-2.60
Ca  0.2165  0.7267  0.9926  3 N 2.38-2.55
Ca  0.2733  0.7835  0.5074  3 N 2.38-2.55
Ca  0.4910  0.1959  0.7743  5 N 2.40-2.60
Ca  0.5090  0.8041  0.2257  5 N 2.40-2.60
Ca  0.7267  0.2165  0.4926  3 N 2.38-2.55
Ca  0.7835  0.2733  0.0074  3 N 2.38-2.55
Ca  0.8041  0.5090  0.7257  5 N 2.40-2.60
Ca  0.8426  0.1574  0.2500  4 N 2.47-2.66
Ti  0.1847  0.3640  0.5684  4 N 1.90-1.95
Ti  0.3640  0.1847  0.0684  4 N 1.90-1.95
Ti  0.6360  0.8153  0.9316  4 N 1.90-1.95
Ti  0.8153  0.6360  0.4316  4 N 1.90-1.95
N  0.0938  0.3268  0.4139  2 Ti 1.94-1.95
N  0.1421  0.1427  0.6425  1 Ti 1.93
N  0.1427  0.1421  0.1425  1 Ti 1.93
N  0.3268  0.0938  0.9139  2 Ti 1.94-1.95
N  0.4397  0.4605  0.1238  1 Ti 1.90
N  0.4605  0.4397  0.6238  1 Ti 1.90
N  0.5395  0.5603  0.3762  1 Ti 1.90
N  0.5603  0.5395  0.8762  1 Ti 1.90
N  0.6732  0.9062  0.0861  2 Ti 1.94-1.95
N  0.8573  0.8579  0.8575  1 Ti 1.93
N  0.8579  0.8573  0.3575  1 Ti 1.93
N  0.9062  0.6732  0.5861  2 Ti 1.94-1.95

Output
**Space group**: No. 15

=====

ii) is preferred energetically. Next in line: 0.056 eV/atom higher.

=====

i) A plane-wave DFT calculation with PBE was carried out for a geometry-optimized CaTlN2 structure.

Lattice parameters (Å, degrees): 5.7071 5.7071 5.7071 116.46 116.46 96.24
With the nearest neighbours (Å) after each atom.
Sites, in units of the cell vectors:
Ca  0.0000  0.0000  0.0000  4 N 2.40
Ca  0.7500  0.2500  0.5000  4 N 2.40
Tl  0.2500  0.7500  0.5000  4 N 2.26
Tl  0.5000  0.5000  0.0000  4 N 2.26
N  0.1434  0.6250  0.0184  2 Tl 2.26, 2 Ca 2.40
N  0.3750  0.3934  0.5184  2 Tl 2.26, 2 Ca 2.40
N  0.6066  0.1250  0.9816  2 Tl 2.26, 2 Ca 2.40
N  0.8750  0.8566  0.4816  2 Tl 2.26, 2 Ca 2.40

Output
**Space group**: No. 122

=====

ii) A plane-wave DFT calculation with PBE was carried out for a geometry-optimized CaTlN2 structure.

Lattice parameters (Å, degrees): 6.7932 6.7932 6.7932 32.33 32.33 32.33
With the nearest neighbours (Å) after each atom.
Sites, in units of the cell vectors:
Ca  0.0000  0.0000  0.0000  6 N 2.50
Tl  0.5000  0.5000  0.5000  2 N 2.00
N  0.3963  0.3963  0.3963  1 Tl 2.00
N  0.6037  0.6037  0.6037  1 Tl 2.00

Output
**Space group**: No. 166

=====

iii) A plane-wave DFT calculation with PBE was carried out for a geometry-optimized CaTlN2 structure.

Lattice parameters (Å, degrees): 6.9749 6.9749 6.9749 30.61 30.61 30.61
With the nearest neighbours (Å) after each atom.
Sites, in units of the cell vectors:
Ca  0.0000  0.0000  0.0000  2 N 2.20
Tl  0.5000  0.5000  0.5000  6 N 2.40
N  0.1106  0.1106  0.1106  1 Ca 2.20, 3 Tl 2.40
N  0.8894  0.8894  0.8894  1 Ca 2.20, 3 Tl 2.40

Output
**Space group**: No. 166

=====

iv) A plane-wave DFT calculation with PBE was carried out for a geometry-optimized CaTlN2 structure.

Lattice parameters (Å, degrees): 4.3236 4.3236 4.3236 60.00 60.00 60.00
With the nearest neighbours (Å) after each atom.
Sites, in units of the cell vectors:
Ca  0.0000  0.0000  0.0000  8 N 2.65
Tl  0.5000  0.5000  0.5000  8 N 2.65
N  0.2500  0.2500  0.2500  4 Tl 2.65, 4 Ca 2.65
N  0.7500  0.7500  0.7500  4 Tl 2.65, 4 Ca 2.65

Output
**Space group**: No. 225

=====

i) is preferred energetically. Next in line: 0.040 eV/atom higher.

=====

i) A plane-wave DFT calculation with PBE was carried out for a geometry-optimized CaTl2N structure.

Lattice parameters (Å, degrees): 6.8593 6.8593 6.8593 96.94 96.94 139.31
With the nearest neighbours (Å) after each atom.
Sites, in units of the cell vectors:
Ca  0.0000  0.0000  0.0000  2 N 2.39
Ca  0.7500  0.2500  0.5000  2 N 2.39
Tl  0.2344  0.6250  0.1094  2 N 2.68
Tl  0.3750  0.4844  0.6094  2 N 2.68
Tl  0.5156  0.1250  0.8906  2 N 2.68
Tl  0.8750  0.7656  0.3906  2 N 2.68
N  0.2500  0.7500  0.5000  2 Ca 2.39
N  0.5000  0.5000  0.0000  2 Ca 2.39

Output
**Space group**: No. 122

=====

ii) A plane-wave DFT calculation with PBE was carried out for a geometry-optimized CaTl2N structure.

Lattice parameters (Å, degrees): 5.0585 5.0585 5.0585 60.00 60.00 60.00
With the nearest neighbours (Å) after each atom.
Sites, in units of the cell vectors:
Ca  0.0000  0.0000  0.0000  8 Tl 3.10
Tl  0.2500  0.2500  0.2500  4 Ca 3.10, 4 N 3.10
Tl  0.7500  0.7500  0.7500  4 Ca 3.10, 4 N 3.10
N  0.5000  0.5000  0.5000  8 Tl 3.10

Output
**Space group**: No. 225

=====

i) is preferred energetically. Next in line: 0.591 eV/atom higher.